# 1
VASP calculation (PBE) on crystalline KCu3Ni at its relaxed geometry.

Unit cell a=4.780 b=4.780 c=4.780 alpha=90.00 beta=90.00 gamma=90.00
Atoms (fractional coordinates):
K1 0.000 0.000 0.000
Cu1 0.000 0.000 0.500
Cu2 0.000 0.500 0.000
Cu3 0.500 0.000 0.000
Ni1 0.500 0.500 0.500

Results
- space group = Pm-3m
- VASP energy (eV per atom) = -1.809

=====

# 2
VASP calculation (PBE) on crystalline DyErSe2 at its relaxed geometry.

Unit cell a=7.001 b=7.001 c=7.001 alpha=33.73 beta=33.73 gamma=33.73
Atoms (fractional coordinates):
Dy1 0.000 0.000 0.000
Er1 0.500 0.500 0.500
Se1 0.249 0.249 0.249
Se2 0.751 0.751 0.751

Results
- space group = R-3m
- energy relative to the elements, uncorrected (eV/f.u.) = -6.9
- VASP energy (eV per atom) = -5.755

=====

# 3
VASP calculation (PBE) on crystalline CsPt3Pb at its relaxed geometry.

Unit cell a=5.272 b=5.272 c=5.272 alpha=90.00 beta=90.00 gamma=90.00
Atoms (fractional coordinates):
Cs1 0.000 0.000 0.000
Pt1 0.000 0.500 0.500
Pt2 0.500 0.000 0.500
Pt3 0.500 0.500 0.000
Pb1 0.500 0.500 0.500

Results
- space group = Pm-3m
- VASP energy (eV per atom) = -3.864

=====

# 4
VASP calculation (PBE) on crystalline NdTh3C8 at its relaxed geometry.

Unit cell a=6.440 b=6.438 c=6.978 alpha=57.21 beta=57.17 gamma=65.62
Atoms (fractional coordinates):
Nd1 0.000 0.000 0.000
Th1 0.251 0.251 0.249
Th2 0.501 0.501 0.499
Th3 0.751 0.751 0.749
C1 0.094 0.424 0.576
C2 0.118 0.609 0.882
C3 0.389 0.885 0.115
C4 0.424 0.094 0.906
C5 0.578 0.908 0.422
C6 0.609 0.118 0.391
C7 0.885 0.389 0.611
C8 0.908 0.578 0.092

Results
- space group = Fmm2
- VASP energy (eV per atom) = -8.306